Entry 1:
CaHg2HRh | GGA-PBE | optimized geometry

Unit cell a=5.3532 b=5.3532 c=3.5433 alpha=90.00 beta=90.00 gamma=90.00
Last column: nearest neighbours and their distance in Å.
Space group P4/mmm (No. 123)
One atom of each set of equivalent atoms:
Ca1 0.0000 0.0000 0.0000 [1 per cell]  8 Hg 3.21, 2 Ca 3.54
Hg1 0.0000 0.5000 0.5000 [2 per cell]  2 Rh 2.68
H1 0.5000 0.5000 0.0000 [1 per cell]  2 Rh 1.77
Rh1 0.5000 0.5000 0.5000 [1 per cell]  2 H 1.77

Calculated values
**V**: 102 Å³/cell
**Final energy**: -2.77 eV/atom

=====

Entry 2:
CaHgHRh2 | GGA-PBE | optimized geometry

Unit cell a=4.1497 b=4.1497 c=4.3178 alpha=90.00 beta=90.00 gamma=90.00
Last column: nearest neighbours and their distance in Å.
Space group P4/mmm (No. 123)
One atom of each set of equivalent atoms:
Ca1 0.0000 0.0000 0.0000 [1 per cell]  2 H 2.16
Hg1 0.5000 0.5000 0.0000 [1 per cell]  4 Ca 2.93, 8 Rh 2.99
H1 0.0000 0.0000 0.5000 [1 per cell]  4 Rh 2.07, 2 Ca 2.16
Rh1 0.0000 0.5000 0.5000 [2 per cell]  2 H 2.07

Calculated values
**V**: 74 Å³/cell
**Final energy**: -4.29 eV/atom

=====

Entry 3:
Ca2HgH6Rh | GGA-PBE | optimized geometry

Unit cell a=4.6873 b=4.6873 c=7.2757 alpha=90.00 beta=90.00 gamma=120.00
Last column: nearest neighbours and their distance in Å.
Space group P-3m1 (No. 164)
One atom of each set of equivalent atoms:
Ca1 0.3333 0.6667 0.1952 [2 per cell]  6 H 2.39
Hg1 0.0000 0.0000 0.5000 [1 per cell]  6 H 3.02
H1 0.1696 0.3391 0.8700 [6 per cell]  1 Rh 1.67
Rh1 0.0000 0.0000 0.0000 [1 per cell]  6 H 1.67

Calculated values
**V**: 138 Å³/cell
**Final energy**: -3.62 eV/atom

=====

Entry 4:
Ca2HgHRh | GGA-PBE | optimized geometry

Unit cell a=5.1225 b=5.1225 c=3.6551 alpha=90.00 beta=90.00 gamma=90.00
Last column: nearest neighbours and their distance in Å.
Space group P4/mmm (No. 123)
One atom of each set of equivalent atoms:
Ca1 0.0000 0.5000 0.0000 [2 per cell]  2 H 2.56
Hg1 0.0000 0.0000 0.5000 [1 per cell]  8 Ca 3.15
H1 0.5000 0.5000 0.0000 [1 per cell]  2 Rh 1.83
Rh1 0.5000 0.5000 0.5000 [1 per cell]  2 H 1.83

Calculated values
**V**: 96 Å³/cell
**Final energy**: -3.50 eV/atom

=====

Entry 5:
CaHg2SbH | GGA-PBE | optimized geometry

Unit cell a=4.8150 b=4.8150 c=4.6434 alpha=90.00 beta=90.00 gamma=90.00
Last column: nearest neighbours and their distance in Å.
Space group P4/mmm (No. 123)
One atom of each set of equivalent atoms:
Ca1 0.0000 0.0000 0.0000 [1 per cell]  2 H 2.32
Hg1 0.0000 0.5000 0.5000 [2 per cell]  2 H 2.41
Sb1 0.5000 0.5000 0.0000 [1 per cell]  8 Hg 3.34, 4 Ca 3.40
H1 0.0000 0.0000 0.5000 [1 per cell]  2 Ca 2.32, 4 Hg 2.41

Calculated values
**V**: 108 Å³/cell
**Final energy**: -2.21 eV/atom

=====

Entry 6:
Ca2ScHgH | GGA-PBE | optimized geometry

Unit cell a=6.1727 b=6.1727 c=3.7710 alpha=90.00 beta=90.00 gamma=90.00
Last column: nearest neighbours and their distance in Å.
Space group P4/mmm (No. 123)
One atom of each set of equivalent atoms:
Ca1 0.0000 0.5000 0.0000 [2 per cell]  2 Hg 3.09
Sc1 0.0000 0.0000 0.5000 [1 per cell]  8 Ca 3.62, 2 Sc 3.77
Hg1 0.5000 0.5000 0.0000 [1 per cell]  2 H 1.89
H1 0.5000 0.5000 0.5000 [1 per cell]  2 Hg 1.89

Calculated values
**V**: 144 Å³/cell
**Final energy**: -2.45 eV/atom

=====

Entry 7:
Ca2ScHgH | GGA-PBE | optimized geometry

Unit cell a=5.0994 b=5.0994 c=4.2769 alpha=90.00 beta=90.00 gamma=90.00
Last column: nearest neighbours and their distance in Å.
Space group P4/mmm (No. 123)
One atom of each set of equivalent atoms:
Ca1 0.0000 0.5000 0.0000 [2 per cell]  2 H 2.55
Sc1 0.0000 0.0000 0.5000 [1 per cell]  2 H 2.14
Hg1 0.5000 0.5000 0.5000 [1 per cell]  8 Ca 3.33, 4 Sc 3.61
H1 0.0000 0.0000 0.0000 [1 per cell]  2 Sc 2.14

Calculated values
**V**: 111 Å³/cell
**Final energy**: -3.03 eV/atom

=====

Entry 8:
CaSn2HgH | GGA-PBE | optimized geometry

Unit cell a=4.8294 b=4.8294 c=4.6694 alpha=90.00 beta=90.00 gamma=90.00
Last column: nearest neighbours and their distance in Å.
Space group P4/mmm (No. 123)
One atom of each set of equivalent atoms:
Ca1 0.0000 0.0000 0.0000 [1 per cell]  2 H 2.33
Sn1 0.0000 0.5000 0.5000 [2 per cell]  2 H 2.41
Hg1 0.5000 0.5000 0.0000 [1 per cell]  8 Sn 3.36, 4 Ca 3.41
H1 0.0000 0.0000 0.5000 [1 per cell]  2 Ca 2.33, 4 Sn 2.41

Calculated values
**V**: 109 Å³/cell
**Final energy**: -2.87 eV/atom

=====

Entry 9:
Ca2SnHgH | GGA-PBE | optimized geometry

Unit cell a=4.8515 b=4.8515 c=4.6891 alpha=90.00 beta=90.00 gamma=90.00
Last column: nearest neighbours and their distance in Å.
Space group P4/mmm (No. 123)
One atom of each set of equivalent atoms:
Ca1 0.0000 0.5000 0.0000 [2 per cell]  2 H 2.43
Sn1 0.0000 0.0000 0.5000 [1 per cell]  8 Ca 3.37, 4 Hg 3.43
Hg1 0.5000 0.5000 0.5000 [1 per cell]  2 H 2.34
H1 0.5000 0.5000 0.0000 [1 per cell]  2 Hg 2.34, 4 Ca 2.43

Calculated values
**V**: 110 Å³/cell
**Final energy**: -2.78 eV/atom

=====

Entry 10:
Ca2SnHgH | GGA-PBE | optimized geometry

Unit cell a=5.1423 b=5.1423 c=4.3184 alpha=90.00 beta=90.00 gamma=90.00
Last column: nearest neighbours and their distance in Å.
Space group P4/mmm (No. 123)
One atom of each set of equivalent atoms:
Ca1 0.0000 0.5000 0.0000 [2 per cell]  2 H 2.57
Sn1 0.0000 0.0000 0.5000 [1 per cell]  2 H 2.16
Hg1 0.5000 0.5000 0.5000 [1 per cell]  8 Ca 3.36, 4 Sn 3.64
H1 0.0000 0.0000 0.0000 [1 per cell]  2 Sn 2.16

Calculated values
**V**: 114 Å³/cell
**Final energy**: -2.73 eV/atom

=====

Entry 11:
CaSnHg2H | GGA-PBE | optimized geometry

Unit cell a=5.0284 b=5.0284 c=4.3065 alpha=90.00 beta=90.00 gamma=90.00
Last column: nearest neighbours and their distance in Å.
Space group P4/mmm (No. 123)
One atom of each set of equivalent atoms:
Ca1 0.0000 0.0000 0.0000 [1 per cell]  2 H 2.15
Sn1 0.5000 0.5000 0.0000 [1 per cell]  8 Hg 3.31, 4 Ca 3.56
Hg1 0.0000 0.5000 0.5000 [2 per cell]  2 H 2.51
H1 0.0000 0.0000 0.5000 [1 per cell]  2 Ca 2.15

Calculated values
**V**: 109 Å³/cell
**Final energy**: -2.17 eV/atom

=====

Entry 12:
CaHgTe2H | GGA-PBE | optimized geometry

Unit cell a=5.9290 b=5.9290 c=3.6621 alpha=90.00 beta=90.00 gamma=90.00
Last column: nearest neighbours and their distance in Å.
Space group P4/mmm (No. 123)
One atom of each set of equivalent atoms:
Ca1 0.0000 0.0000 0.0000 [1 per cell]  8 Te 3.48, 2 Ca 3.66
Hg1 0.5000 0.5000 0.5000 [1 per cell]  2 H 1.83
Te1 0.0000 0.5000 0.5000 [2 per cell]  2 Hg 2.96
H1 0.5000 0.5000 0.0000 [1 per cell]  2 Hg 1.83

Calculated values
**V**: 129 Å³/cell
**Final energy**: -2.74 eV/atom